DFT (PBE) results for a relaxed structure of Sc7Sn2Pt2.

a b c (Å): 6.4843 6.4843 6.6261
angles (deg): 90.00 90.00 104.83
Element x y z (fractional)
Sc 0.0000 0.0000 0.0000
Sc 0.0000 0.5000 0.2510
Sc 0.0000 0.5000 0.7490
Sc 0.5000 0.0000 0.2510
Sc 0.5000 0.0000 0.7490
Sc 0.5000 0.5000 0.2397
Sc 0.5000 0.5000 0.7603
Sn 0.1858 0.1858 0.5000
Sn 0.8142 0.8142 0.5000
Pt 0.2828 0.7172 0.0000
Pt 0.7172 0.2828 0.0000

Computed properties:
* symmetry: Cmmm
* DFT formation energy: -0.583 eV per atom

***

DFT (PBE) results for a relaxed structure of AcSm2Ge.

a b c (Å): 3.9276 3.9276 7.8875
angles (deg): 90.00 90.00 90.00
Element x y z (fractional)
Ac 0.0000 0.0000 0.0000
Sm 0.5000 0.5000 0.3115
Sm 0.5000 0.5000 0.6885
Ge 0.0000 0.0000 0.5000

Computed properties:
* energy relative to the lowest polymorph listed for this composition: 0.00 eV per formula unit
* symmetry: P4/mmm
* DFT formation energy: -0.304 eV per atom

***

DFT (PBE) results for a relaxed structure of Nd4Bi2Sb.

a b c (Å): 8.3441 8.3441 8.3441
angles (deg): 109.61 109.61 109.19
Element x y z (fractional)
Nd 0.1178 0.2295 0.7472
Nd 0.1206 0.7324 0.7528
Nd 0.2676 0.0205 0.3883
Nd 0.4824 0.3706 0.2528
Nd 0.6294 0.8822 0.1117
Nd 0.6322 0.8794 0.6117
Nd 0.7705 0.5176 0.8883
Nd 0.9795 0.3678 0.2472
Bi 0.2532 0.6250 0.1282
Bi 0.3750 0.5032 0.6282
Bi 0.4968 0.1250 0.8718
Bi 0.8750 0.7468 0.3718
Sb 0.0000 0.0000 0.0000
Sb 0.7500 0.2500 0.5000

Computed properties:
* raw formation energy: -0.91 eV/atom
* energy relative to the lowest polymorph listed for this composition: 0.00 eV per formula unit
* symmetry: I-42d

***

DFT (PBE) results for a relaxed structure of Ce3Ni8Au.

a b c (Å): 8.7746 8.7746 8.7746
angles (deg): 33.19 33.19 33.19
Element x y z (fractional)
Ce 0.0000 0.0000 0.0000
Ce 0.1287 0.1287 0.1287
Ce 0.5128 0.5128 0.5128
Ni 0.0667 0.5682 0.5682
Ni 0.0694 0.0694 0.5654
Ni 0.0694 0.5654 0.0694
Ni 0.3181 0.3181 0.3181
Ni 0.5654 0.0694 0.0694
Ni 0.5682 0.0667 0.5682
Ni 0.5682 0.5682 0.0667
Ni 0.8179 0.8179 0.8179
Au 0.6339 0.6339 0.6339

Computed properties:
* symmetry: R3m
* DFT formation energy: -0.404 eV per atom

***

DFT (PBE) results for a relaxed structure of K2YAg.

a b c (Å): 8.5446 8.5446 8.5446
angles (deg): 90.00 90.00 90.00
Element x y z (fractional)
K 0.2500 0.2500 0.2500
K 0.2500 0.2500 0.7500
K 0.2500 0.7500 0.2500
K 0.2500 0.7500 0.7500
K 0.7500 0.2500 0.2500
K 0.7500 0.2500 0.7500
K 0.7500 0.7500 0.2500
K 0.7500 0.7500 0.7500
Y 0.0000 0.0000 0.0000
Y 0.0000 0.5000 0.5000
Y 0.5000 0.0000 0.5000
Y 0.5000 0.5000 0.0000
Ag 0.0000 0.0000 0.5000
Ag 0.0000 0.5000 0.0000
Ag 0.5000 0.0000 0.0000
Ag 0.5000 0.5000 0.5000

Computed properties:
* energy relative to the lowest polymorph listed for this composition: 2.40 eV per formula unit
* symmetry: Fm-3m
* DFT formation energy: 0.688 eV per atom

***

DFT (PBE) results for a relaxed structure of LaCdTcOs2.

a b c (Å): 4.9343 4.9343 4.8617
angles (deg): 90.00 90.00 90.00
Element x y z (fractional)
La 0.0000 0.0000 0.0000
Cd 0.5000 0.5000 0.5000
Tc 0.5000 0.5000 0.0000
Os 0.0000 0.5000 0.5000
Os 0.5000 0.0000 0.5000

Computed properties:
* symmetry: P4/mmm
* DFT formation energy: 1.919 eV per atom

***

DFT (PBE) results for a relaxed structure of BeCoRuW.

a b c (Å): 5.8652 5.8652 5.8652
angles (deg): 90.00 90.00 90.00
Element x y z (fractional)
Be 0.0000 0.0000 0.0000
Be 0.0000 0.5000 0.5000
Be 0.5000 0.0000 0.5000
Be 0.5000 0.5000 0.0000
Co 0.2500 0.2500 0.7500
Co 0.2500 0.7500 0.2500
Co 0.7500 0.2500 0.2500
Co 0.7500 0.7500 0.7500
Ru 0.2500 0.2500 0.2500
Ru 0.2500 0.7500 0.7500
Ru 0.7500 0.2500 0.7500
Ru 0.7500 0.7500 0.2500
W 0.0000 0.0000 0.5000
W 0.0000 0.5000 0.0000
W 0.5000 0.0000 0.0000
W 0.5000 0.5000 0.5000

Computed properties:
* symmetry: F-43m
* DFT formation energy: -0.070 eV per atom

***

DFT (PBE) results for a relaxed structure of ZnCd.

a b c (Å): 9.2961 9.2961 4.9425
angles (deg): 90.00 90.00 90.00
Element x y z (fractional)
Zn 0.0968 0.4032 0.0000
Zn 0.0968 0.5968 0.5000
Zn 0.4032 0.0968 0.5000
Zn 0.4032 0.9032 0.0000
Zn 0.5968 0.0968 0.0000
Zn 0.5968 0.9032 0.5000
Zn 0.9032 0.4032 0.5000
Zn 0.9032 0.5968 0.0000
Cd 0.1936 0.3064 0.5000
Cd 0.1936 0.6936 0.0000
Cd 0.3064 0.1936 0.0000
Cd 0.3064 0.8064 0.5000
Cd 0.6936 0.1936 0.5000
Cd 0.6936 0.8064 0.0000
Cd 0.8064 0.3064 0.0000
Cd 0.8064 0.6936 0.5000

Computed properties:
* symmetry: I4/mcm
* DFT formation energy: 0.150 eV per atom

***

| no. | M_tot (μB per atom) | uncorrected energy (eV/cell) |
| --- | --- | --- |
| 1 | 0.00 | -70.823 |
| 2 | 0.00 | -19.379 |
| 3 | 0.00 | -74.642 |
| 4 | 0.03 | -72.175 |
| 5 | 0.35 | -35.035 |
| 6 | 0.53 | -29.073 |
| 7 | 0.24 | -133.358 |
| 8 | 0.00 | -15.114 |